[1]
# PBE Li3SmPt2, relaxed
data_Li3SmPt2
_chemical_formula_sum 'Li12 Sm4 Pt8'
_cell_length_a 13.7284
_cell_length_b 4.1683
_cell_length_c 8.3619
_cell_angle_alpha 90.00
_cell_angle_beta 118.39
_cell_angle_gamma 90.00
_symmetry_space_group_name_H-M 'C 1 2/m 1'
_symmetry_Int_Tables_number 12
loop_
_symmetry_equiv_pos_as_xyz
'x,y,z'
'-x,-y,-z'
'-x,y,-z'
'x,-y,z'
'x+1/2,y+1/2,z'
'-x+1/2,-y+1/2,-z'
'-x+1/2,y+1/2,-z'
'x+1/2,-y+1/2,z'
loop_
_atom_site_label
_atom_site_type_symbol
_atom_site_fract_x
_atom_site_fract_y
_atom_site_fract_z
_atom_site_occupancy
Li1 Li 0.0590 0.0000 0.3924 1
Li2 Li 0.0831 0.5000 0.6869 1
Li3 Li 0.2178 0.5000 0.5421 1
Sm1 Sm 0.1360 0.0000 0.0195 1
Pt1 Pt 0.0602 0.5000 0.1911 1
Pt2 Pt 0.2097 0.0000 0.7369 1
# VASP energy: -0.1629 Ha/atom
# Formation enthalpy at 0 K: -65.2 kJ per mole of atoms
# DOS(E_F): 6.897 states/eV per cell
# Mass density: 8.86 Mg/m³
# Magnetic moment: 0.00 μB per cell

***

[2]
# PBE LiSm4Pt, relaxed
data_LiSm4Pt
_chemical_formula_sum 'Li4 Sm16 Pt4'
_cell_length_a 9.0106
_cell_length_b 9.0106
_cell_length_c 9.8346
_cell_angle_alpha 90.00
_cell_angle_beta 90.00
_cell_angle_gamma 90.00
_symmetry_space_group_name_H-M 'I 41 m d'
_symmetry_Int_Tables_number 109
_symmetry_space_group_name_Hall 'I 4bw -2'
loop_
_atom_site_label
_atom_site_type_symbol
_atom_site_fract_x
_atom_site_fract_y
_atom_site_fract_z
_atom_site_occupancy
Li1 Li 0.0000 0.0000 0.0000 1
Sm1 Sm 0.0000 0.3073 0.5159 1
Sm2 Sm 0.0000 0.3109 0.9840 1
Pt1 Pt 0.0000 0.0000 0.5020 1
# VASP energy: -0.1660 Ha/atom
# Formation enthalpy at 0 K: -4.5 kJ per mole of atoms
# DOS(E_F): 39.816 states/eV per cell
# Mass density: 6.68 Mg/m³
# Magnetic moment: 0.01 μB per cell

***

[3]
# PBE LiSmPt2, relaxed
data_LiSmPt2
_chemical_formula_sum 'Li1 Sm1 Pt2'
_cell_length_a 3.5455
_cell_length_b 3.5455
_cell_length_c 5.9168
_cell_angle_alpha 90.00
_cell_angle_beta 90.00
_cell_angle_gamma 90.00
_symmetry_space_group_name_H-M 'P 4/m m m'
_symmetry_Int_Tables_number 123
_symmetry_space_group_name_Hall '-P 4 2'
loop_
_atom_site_label
_atom_site_type_symbol
_atom_site_fract_x
_atom_site_fract_y
_atom_site_fract_z
_atom_site_occupancy
Li1 Li 0.0000 0.0000 0.0000 1
Sm1 Sm 0.0000 0.0000 0.5000 1
Pt1 Pt 0.5000 0.5000 0.2289 1
# VASP energy: -0.2038 Ha/atom
# Formation enthalpy at 0 K: -83.7 kJ per mole of atoms
# DOS(E_F): 1.492 states/eV per cell
# Mass density: 12.22 Mg/m³
# Magnetic moment: 0.00 μB per cell

***

[4]
# PBE Li5Sm4Pt6, relaxed
data_Li5Sm4Pt6
_chemical_formula_sum 'Li20 Sm16 Pt24'
_cell_length_a 4.0785
_cell_length_b 20.0392
_cell_length_c 14.9575
_cell_angle_alpha 90.00
_cell_angle_beta 90.00
_cell_angle_gamma 90.00
_symmetry_space_group_name_H-M 'C m c 21'
_symmetry_Int_Tables_number 36
loop_
_symmetry_equiv_pos_as_xyz
'x,y,z'
'-x,-y,z+1/2'
'-x,y,z'
'x,-y,z+1/2'
'x+1/2,y+1/2,z'
'-x+1/2,-y+1/2,z+1/2'
'-x+1/2,y+1/2,z'
'x+1/2,-y+1/2,z+1/2'
loop_
_atom_site_label
_atom_site_type_symbol
_atom_site_fract_x
_atom_site_fract_y
_atom_site_fract_z
_atom_site_occupancy
Li1 Li 0.0000 0.0644 0.0000 1
Li2 Li 0.0000 0.1440 0.3199 1
Li3 Li 0.0000 0.1627 0.5886 1
Li4 Li 0.0000 0.1968 0.9410 1
Li5 Li 0.0000 0.3441 0.9559 1
Sm1 Sm 0.0000 0.3138 0.2658 1
Sm2 Sm 0.0000 0.3378 0.6316 1
Sm3 Sm 0.0000 0.4683 0.1009 1
Sm4 Sm 0.0000 0.4926 0.8391 1
Pt1 Pt 0.0000 0.0569 0.1866 1
Pt2 Pt 0.0000 0.0655 0.4624 1
Pt3 Pt 0.0000 0.0796 0.7384 1
Pt4 Pt 0.0000 0.2613 0.0889 1
Pt5 Pt 0.0000 0.2823 0.8088 1
Pt6 Pt 0.0000 0.3842 0.4390 1
# VASP energy: -0.1864 Ha/atom
# Formation enthalpy at 0 K: -73.2 kJ per mole of atoms
# DOS(E_F): 26.025 states/eV per cell
# Mass density: 9.82 Mg/m³
# Magnetic moment: 0.00 μB per cell